Compound: Al2VClF
Source: Alexandria
Functional: PBE+U
Structure: optimized geometry

Results
As for the total energy: -3.996 eV per atom. Its total magnetic moment is 0.8575 μB/atom.

The structure in POSCAR format:
```
Al2VClF
1.0
5.323 0.000 0.000
0.000 5.323 0.000
0.000 0.000 4.050
Al V Cl F
2 1 1 1
Direct
0.000 0.500 0.000 Al
0.500 0.000 0.000 Al
0.000 0.000 0.000 V
0.500 0.500 0.500 Cl
0.000 0.000 0.500 F
```